Below is a relaxed structure of KSbAs, with properties calculated at the PBE level.

Structure (POSCAR):
```
KSbAs
1.0
-3.267 -2.090 0.724
-0.582 -1.152 4.799
-7.785 9.047 1.739
K As Sb
2 2 2
direct
0.097 0.884 0.922
0.656 0.302 0.386
0.712 0.465 0.111
0.041 0.721 0.196
0.509 0.277 0.705
0.244 0.909 0.603
```

Output
size of the total moment = 0.000 μB per atom
total energy = -21.12 eV/cell
density of states at the Fermi level = 0.48 states/eV/atom
energy relative to the elements, uncorrected = -0.2300 eV/atom

Below is a relaxed structure of KSbAs, with properties calculated at the PBE level.

Structure (POSCAR):
```
KSbAs
1.0
5.182 0.000 0.000
2.591 4.487 0.000
2.591 1.496 4.231
As K Sb
1 1 1
direct
0.750 0.750 0.750
0.000 0.000 0.000
0.500 0.500 0.500
```

Output
size of the total moment = 0.000 μB per atom
total energy = -9.81 eV/cell
density of states at the Fermi level = 0.74 states/eV/atom
energy relative to the elements, uncorrected = 0.0199 eV/atom

Below is a relaxed structure of K2SbAs, with properties calculated at the PBE level.

Structure (POSCAR):
```
K2SbAs
1.0
5.672 0.661 0.048
0.633 5.215 -0.155
-3.068 -3.097 5.247
K Sb As
2 1 1
direct
0.823 0.757 0.657
0.164 0.048 0.340
0.566 0.592 0.992
0.447 0.139 0.011
```

Output
size of the total moment = 0.000 μB per atom
total energy = -12.05 eV/cell
density of states at the Fermi level = 0.45 states/eV/atom
energy relative to the elements, uncorrected = -0.2718 eV/atom

Below is a relaxed structure of K2SbAs, with properties calculated at the PBE level.

Structure (POSCAR):
```
K2SbAs
1.0
11.389 -0.020 -0.012
10.833 3.516 -0.012
10.833 1.704 3.076
K Sb As
2 1 1
direct
0.005 0.005 0.005
0.495 0.495 0.495
0.250 0.250 0.250
0.750 0.750 0.750
```

Output
size of the total moment = 0.107 μB per atom
total energy = -10.92 eV/cell
density of states at the Fermi level = 0.86 states/eV/atom
energy relative to the elements, uncorrected = 0.0115 eV/atom

Computed polymorph energy (0 for the lowest one) (meV/atom) in order:
35.0; 285.0; 143.1; 426.4